Record 1
Compound: Cs2HgSO6
Source: Alexandria
Functional: PBE
Structure: relaxed

The structure in POSCAR format:
```
Cs2HgSO6
1.0
6.519 0.000 0.000
-3.260 5.646 0.000
0.000 0.000 5.750
Cs Hg S O
2 1 1 6
Cartesian
0.000 3.764 1.815
3.260 1.882 3.935
0.000 0.000 0.000
0.000 0.000 2.875
0.000 1.367 3.842
-2.076 4.962 3.842
1.184 0.683 1.908
2.076 4.962 3.842
5.336 0.683 1.908
3.260 4.279 1.908
```

Output
Spin magnetization: 0.202 μB/atom
Space-group type: P-3m1, No. 164
Uncorrected energy: -4.43 eV per atom
E_form (uncorrected): -0.841 eV/atom

=====

Record 2
Compound: Cs2HgSbO4
Source: Alexandria
Functional: PBE
Structure: relaxed

The structure in POSCAR format:
```
Cs2HgSbO4
1.0
0.000 6.650 11.203
3.089 0.000 11.203
3.089 6.650 0.000
Cs Hg Sb O
4 2 2 8
Cartesian
2.317 4.988 1.211
3.862 8.313 6.812
2.317 4.988 15.594
3.862 8.313 21.195
0.772 1.663 2.801
5.407 11.638 19.605
2.317 4.988 8.402
3.862 8.313 14.004
3.475 3.806 7.404
3.475 6.170 9.401
5.020 7.131 15.002
5.020 9.495 13.005
1.159 3.806 9.401
1.159 6.170 7.404
2.704 7.131 13.005
2.704 9.495 15.002
```

Output
Spin magnetization: 0.000 μB/atom
Space-group type: Fddd, No. 70
Uncorrected energy: -4.30 eV per atom
E_form (uncorrected): -1.053 eV/atom

=====

Record 3
Compound: Cs3HgSe2O8
Source: Alexandria
Functional: PBE
Structure: relaxed

The structure in POSCAR format:
```
Cs3HgSe2O8
1.0
6.475 0.000 0.000
-3.238 5.608 0.000
0.000 0.000 8.422
Cs Hg Se O
3 1 2 8
Cartesian
0.000 0.000 0.000
0.000 3.738 5.719
3.238 1.869 2.702
0.000 0.000 4.211
0.000 3.738 1.945
3.238 1.869 6.476
0.000 2.143 2.526
-1.382 4.536 2.526
0.000 3.738 0.282
1.856 1.072 5.896
1.382 4.536 2.526
3.238 1.869 8.140
4.619 1.072 5.896
3.238 3.464 5.896
```

Output
Spin magnetization: 0.000 μB/atom
Space-group type: P-3m1, No. 164
Uncorrected energy: -4.64 eV per atom
E_form (uncorrected): -1.109 eV/atom

=====

Record 4
Compound: CsSmHgO3
Source: Alexandria
Functional: PBE
Structure: relaxed

The structure in POSCAR format:
```
CsSmHgO3
1.0
8.237 0.000 0.000
0.000 3.663 0.000
-1.695 0.000 9.472
Cs Sm Hg O
2 2 2 6
Cartesian
1.000 0.916 2.091
5.543 2.747 7.381
1.521 2.747 8.303
5.022 0.916 1.169
0.225 0.916 5.660
6.318 2.747 3.812
0.568 2.747 4.438
0.113 0.916 7.928
3.464 2.747 1.009
3.079 0.916 8.463
6.429 2.747 1.544
5.974 0.916 5.034
```

Output
Spin magnetization: 0.000 μB/atom
Space-group type: P2_1/m, No. 11
Uncorrected energy: -5.19 eV per atom
E_form (uncorrected): -1.732 eV/atom

=====

Record 5
Compound: Cs2SnHgO4
Source: Alexandria
Functional: PBE
Structure: relaxed

The structure in POSCAR format:
```
Cs2SnHgO4
1.0
4.502 -4.157 0.000
4.502 4.157 0.000
-4.310 0.000 4.790
Cs Sn Hg O
2 1 1 4
Cartesian
0.000 0.000 0.000
2.347 -2.169 2.395
2.347 1.832 2.395
4.502 0.179 0.000
0.805 0.552 2.800
-1.713 -1.414 4.080
3.889 0.552 1.991
6.406 -1.414 0.711
```

Output
Spin magnetization: 0.000 μB/atom
Space-group type: C2, No. 5
Uncorrected energy: -4.44 eV per atom
E_form (uncorrected): -1.212 eV/atom

=====

Record 6
Compound: CsSrHgO2
Source: Alexandria
Functional: PBE
Structure: relaxed

The structure in POSCAR format:
```
CsSrHgO2
1.0
7.222 0.000 0.000
0.000 6.514 0.000
-0.919 0.000 7.055
Cs Sr Hg O
2 2 2 4
Cartesian
-0.230 1.182 1.764
-0.689 5.332 5.291
2.922 3.166 5.291
3.381 3.348 1.764
3.611 0.000 0.000
3.152 0.000 3.528
2.068 1.994 3.322
1.609 4.519 6.850
4.695 1.994 0.205
4.235 4.519 3.733
```

Output
Spin magnetization: 0.000 μB/atom
Space-group type: P2/c, No. 13
Uncorrected energy: -3.83 eV per atom
E_form (uncorrected): -1.280 eV/atom

=====

Record 7
Compound: Cs2TaHgO4
Source: Alexandria
Functional: PBE
Structure: relaxed

The structure in POSCAR format:
```
Cs2TaHgO4
1.0
-3.437 3.437 4.121
3.437 -3.437 4.121
3.437 3.437 -4.121
Cs Ta Hg O
2 1 1 4
Cartesian
0.000 0.000 0.000
0.000 3.437 2.061
0.000 0.000 4.121
3.437 0.000 2.061
1.230 -0.937 3.054
2.501 2.208 1.067
2.208 4.374 -1.067
0.937 1.230 5.189
```

Output
Spin magnetization: 0.085 μB/atom
Space-group type: I-4, No. 82
Uncorrected energy: -6.02 eV per atom
E_form (uncorrected): -1.809 eV/atom

=====

Record 8
Compound: CsTbHgO3
Source: Alexandria
Functional: PBE
Structure: relaxed

The structure in POSCAR format:
```
CsTbHgO3
1.0
7.718 0.000 0.000
0.000 3.654 0.000
-1.921 0.000 9.306
Cs Tb Hg O
2 2 2 6
Cartesian
-0.337 0.914 3.015
6.134 2.741 6.291
2.350 0.914 6.043
3.447 2.741 3.263
2.416 0.914 0.020
3.380 2.741 9.286
0.436 0.914 7.338
1.729 2.741 4.807
2.442 0.914 2.035
3.355 2.741 7.271
4.068 0.914 4.500
5.361 2.741 1.969
```

Output
Spin magnetization: 0.000 μB/atom
Space-group type: P2_1/m, No. 11
Uncorrected energy: -5.37 eV per atom
E_form (uncorrected): -1.925 eV/atom

=====

Record 9
Compound: CsTcHgO4
Source: Alexandria
Functional: PBE
Structure: relaxed

The structure in POSCAR format:
```
CsTcHgO4
1.0
-3.972 3.972 4.342
3.972 -3.972 4.342
3.972 3.972 -4.342
Cs Tc Hg O
1 1 1 4
Cartesian
0.000 0.000 0.000
0.000 3.972 2.171
0.000 0.000 4.342
0.610 2.684 1.169
-1.288 3.362 3.173
-0.610 5.260 1.169
1.288 4.583 3.173
```

Output
Spin magnetization: 0.000 μB/atom
Space-group type: I-4, No. 82
Uncorrected energy: -5.89 eV per atom
E_form (uncorrected): -1.406 eV/atom

=====

Record 10
Compound: Cs2TcHgO
Source: Alexandria
Functional: PBE
Structure: relaxed

The structure in POSCAR format:
```
Cs2TcHgO
1.0
7.087 0.000 0.000
0.000 7.087 0.000
0.000 0.000 3.798
Cs Tc Hg O
2 1 1 1
Cartesian
0.000 3.543 0.000
3.543 0.000 0.000
0.000 0.000 0.000
3.543 3.543 1.899
0.000 0.000 1.899
```

Output
Spin magnetization: 0.252 μB/atom
Space-group type: P4/mmm, No. 123
Uncorrected energy: -3.51 eV per atom
E_form (uncorrected): -0.040 eV/atom

=====

Record 11
Compound: Cs3Tc2HgO8
Source: Alexandria
Functional: PBE
Structure: relaxed

The structure in POSCAR format:
```
Cs3Tc2HgO8
1.0
6.552 0.000 0.000
-3.276 5.674 0.000
0.000 0.000 10.035
Cs Tc Hg O
3 2 1 8
Cartesian
0.000 0.000 0.000
0.000 3.783 7.041
3.276 1.891 2.994
0.000 3.783 1.721
3.276 1.891 8.313
0.000 0.000 5.017
0.000 2.122 2.329
-1.439 4.614 2.329
0.000 3.783 9.990
1.837 1.061 7.706
1.439 4.614 2.329
3.276 1.891 0.045
4.715 1.061 7.706
3.276 3.553 7.706
```

Output
Spin magnetization: 0.079 μB/atom
Space-group type: P-3m1, No. 164
Uncorrected energy: -6.07 eV per atom
E_form (uncorrected): -1.554 eV/atom

=====

Record 12
Compound: Cs2TcHgO4
Source: Alexandria
Functional: PBE
Structure: relaxed

The structure in POSCAR format:
```
Cs2TcHgO4
1.0
-3.949 3.949 3.843
3.949 -3.949 3.843
3.949 3.949 -3.843
Cs Tc Hg O
2 1 1 4
Cartesian
0.000 0.000 0.000
0.000 3.949 1.922
3.949 0.000 1.922
0.000 0.000 3.843
5.161 -0.763 0.839
2.736 0.763 0.839
3.186 -1.213 3.004
4.712 1.213 3.004
```

Output
Spin magnetization: 0.126 μB/atom
Space-group type: I-4, No. 82
Uncorrected energy: -5.42 eV per atom
E_form (uncorrected): -1.389 eV/atom